[1]
A relaxed Ni6MoPt2 crystal, computed with PBE-GGA.

Unit cell a=5.7481 b=8.7357 c=5.7481 alpha=65.27 beta=93.08 gamma=65.27
Fractional coordinates of all 18 atoms:
Ni  0.2433  0.4279  0.5207
Ni  0.4793  0.0721  0.7567
Ni  0.7567  0.5721  0.4793
Ni  0.5207  0.9279  0.2433
Ni  0.1441  0.0726  0.4147
Ni  0.5853  0.4274  0.8559
Ni  0.8559  0.9274  0.5853
Ni  0.4147  0.5726  0.1441
Ni  0.1829  0.9298  0.9105
Ni  0.0895  0.5702  0.8171
Ni  0.8171  0.0702  0.0895
Ni  0.9105  0.4298  0.1829
Mo  0.9088  0.7500  0.0912
Mo  0.0912  0.2500  0.9088
Pt  0.2380  0.7483  0.4218
Pt  0.5782  0.7517  0.7620
Pt  0.7620  0.2517  0.5782
Pt  0.4218  0.2483  0.2380

Output
space-group type: C2/c, No. 15

=====

[2]
A relaxed TlNiW2 crystal, computed with PBE-GGA.

Unit cell a=3.7571 b=3.7571 c=10.3669 alpha=79.56 beta=79.56 gamma=90.00
Fractional coordinates of all 8 atoms:
Ni  0.5000  0.5000  0.0000
Ni  0.2500  0.7500  0.5000
Tl  0.0000  0.0000  0.0000
Tl  0.7500  0.2500  0.5000
W  0.6168  0.1250  0.2500
W  0.1332  0.6250  0.2500
W  0.3750  0.3832  0.7500
W  0.8750  0.8668  0.7500

Output
space-group type: I-42d, No. 122

=====

Number 1: Fermi-level density of states 26.29 states/eV/cell, formation enthalpy at 0 K -0.038 eV/atom, VASP energy -0.23659 Ha/atom. Number 2: Fermi-level density of states 8.52 states/eV/cell, formation enthalpy at 0 K 0.990 eV/atom, VASP energy -0.27648 Ha/atom.